P) Material: TiPd3I
Method: DFT, GGA-PBE
State: relaxed

Output
- total magnetic moment (μB per formula unit) = 0.1

Unit cell a=4.9251 b=4.9251 c=4.9251 alpha=90.00 beta=90.00 gamma=90.00
With the nearest neighbours (Å) after each atom.
Sites, in units of the cell vectors:
1 Pd 0.0000 0.0000 0.5000  2 I 2.46
2 Pd 0.5000 0.0000 0.0000  2 I 2.46
3 Pd 0.0000 0.5000 0.0000  2 I 2.46
4 Ti 0.5000 0.5000 0.5000  12 Pd 3.48
5 I 0.0000 0.0000 0.0000  6 Pd 2.46

Q) Material: TiPd3I
Method: DFT, GGA-PBE
State: relaxed

Output
- total magnetic moment (μB per formula unit) = 0.6

Unit cell a=4.8040 b=4.8040 c=4.8040 alpha=90.00 beta=90.00 gamma=90.00
With the nearest neighbours (Å) after each atom.
Sites, in units of the cell vectors:
1 I 0.5000 0.5000 0.5000  12 Pd 3.40
2 Pd 0.5000 0.0000 0.0000  2 Ti 2.40
3 Pd 0.0000 0.0000 0.5000  2 Ti 2.40
4 Pd 0.0000 0.5000 0.0000  2 Ti 2.40
5 Ti 0.0000 0.0000 0.0000  6 Pd 2.40

Which is most stable, and by how much? Q), by 34.8 kJ/mol of atoms.

P) Material: Tl2Pd2I
Method: DFT, GGA-PBE
State: relaxed

Output
- total magnetic moment (μB per formula unit) = 0.0

Unit cell a=3.9252 b=3.9252 c=9.0344 alpha=77.45 beta=77.45 gamma=90.00
With the nearest neighbours (Å) after each atom.
Sites, in units of the cell vectors:
1 Tl 0.6260 0.6260 0.7479  4 Pd 2.90
2 Tl 0.3740 0.3740 0.2521  4 Pd 2.90
3 I 0.0000 0.0000 0.0000  8 Tl 3.52, 4 I 3.93
4 Pd 0.7500 0.2500 0.5000  4 Pd 2.78, 4 Tl 2.90
5 Pd 0.2500 0.7500 0.5000  4 Pd 2.78, 4 Tl 2.90

Q) Material: Tl2Pd2I
Method: DFT, GGA-PBE
State: relaxed

Output
- total magnetic moment (μB per formula unit) = 0.0

Unit cell a=7.7548 b=7.7548 c=3.9210 alpha=90.00 beta=90.00 gamma=90.00
With the nearest neighbours (Å) after each atom.
Sites, in units of the cell vectors:
1 Tl 0.6594 0.8406 0.5000  6 Pd 2.99-3.01
2 Tl 0.1594 0.6594 0.5000  6 Pd 2.99-3.01
3 Tl 0.8406 0.3406 0.5000  6 Pd 2.99-3.01
4 Tl 0.3406 0.1594 0.5000  6 Pd 2.99-3.01
5 Pd 0.8651 0.6349 0.0000  1 Pd 2.96, 6 Tl 2.99-3.01, 2 I 3.02
6 Pd 0.1349 0.3651 0.0000  1 Pd 2.96, 6 Tl 2.99-3.01, 2 I 3.02
7 Pd 0.3651 0.8651 0.0000  1 Pd 2.96, 6 Tl 2.99-3.01, 2 I 3.02
8 Pd 0.6349 0.1349 0.0000  1 Pd 2.96, 6 Tl 2.99-3.01, 2 I 3.02
9 I 0.0000 0.0000 0.0000  4 Pd 3.02
10 I 0.5000 0.5000 0.0000  4 Pd 3.02

Which is most stable, and by how much? Q), by 3.1 kJ/mol of atoms.